Compound: ZnNi2Br
Source: Alexandria via LeMat-Bulk
Functional: PBEsol
Structure: optimized geometry

a = 2.969 Å, b = 3.749 Å, c = 5.871 Å
α = 108.62°, β = 104.65°, γ = 90.00°
Element x y z (fractional)
1 Br 0.303 0.803 0.606
2 Ni 0.988 0.988 0.976
3 Ni 0.672 0.172 0.344
4 Zn 0.537 0.537 0.074

Total magnetization: 0.0 μB/f.u.
Crystal system: orthorhombic
Fermi-level density of states: 0.665 states/eV per atom
Energy above the most stable polymorph in this dataset: 0.30 eV per formula unit